[1]
Entry from Alexandria: CuSnBr6 after structural relaxation (GGA-PBE).

Cell lengths 6.109, 6.940, 8.161 Å; angles 65.92, 68.41, 84.24 degrees
Positions (direct):
Cu 0.000 0.000 0.000
Sn 0.500 0.500 0.000
Br 0.093 0.654 0.188
Br 0.239 0.136 0.125
Br 0.451 0.684 0.675
Br 0.549 0.316 0.325
Br 0.761 0.864 0.875
Br 0.907 0.346 0.812

Results
- space group = P-1 (2)
- formation energy from raw total energies (eV per atom) = -0.40
- total DFT energy (no corrections) (eV/atom) = -2.6714

[2]
Entry from Alexandria: ZnAgCl3 after structural relaxation (GGA-PBE).

Cell lengths 7.137, 7.137, 10.397 Å; angles 93.67, 93.67, 30.99 degrees
Positions (direct):
Zn 0.091 0.091 0.289
Zn 0.909 0.909 0.711
Ag 0.356 0.356 0.107
Ag 0.644 0.644 0.893
Cl 0.075 0.075 0.736
Cl 0.157 0.157 0.090
Cl 0.355 0.355 0.602
Cl 0.645 0.645 0.398
Cl 0.843 0.843 0.910
Cl 0.925 0.925 0.264

Results
- space group = C2/m (12)
- formation energy from raw total energies (eV per atom) = -0.85
- total DFT energy (no corrections) (eV/atom) = -2.7843
- energy relative to the lowest polymorph listed for this composition (eV/atom) = 0.000

[3]
Entry from Alexandria: Ce6P2CCl3 after structural relaxation (GGA-PBE).

Cell lengths 9.047, 9.047, 8.193 Å; angles 104.28, 104.28, 25.25 degrees
Positions (direct):
Ce 0.000 0.000 0.212
Ce 0.000 0.000 0.788
Ce 0.330 0.330 0.424
Ce 0.351 0.351 0.916
Ce 0.649 0.649 0.084
Ce 0.670 0.670 0.576
P 0.164 0.164 0.332
P 0.836 0.836 0.668
C 0.500 0.500 0.000
Cl 0.172 0.172 0.838
Cl 0.500 0.500 0.500
Cl 0.828 0.828 0.162

Results
- space group = C2/m (12)
- formation energy from raw total energies (eV per atom) = -1.34
- total DFT energy (no corrections) (eV/atom) = -6.4362

[4]
Entry from Alexandria: InOs3C after structural relaxation (GGA-PBE).

Cell lengths 4.132, 4.132, 4.132 Å; angles 90.00, 90.00, 90.00 degrees
Positions (direct):
In 0.000 0.000 0.000
Os 0.000 0.500 0.500
Os 0.500 0.000 0.500
Os 0.500 0.500 0.000
C 0.500 0.500 0.500

Results
- E_form (meV/atom) = 546
- space group = Pm-3m (221)
- total DFT energy (no corrections) (eV/atom) = -8.5843
- energy relative to the lowest polymorph listed for this composition (eV/atom) = 0.000

[5]
Entry from Alexandria: PuTlF4 after structural relaxation (GGA-PBE).

Cell lengths 6.376, 3.821, 16.686 Å; angles 90.00, 90.00, 90.00 degrees
Positions (direct):
Pu 0.246 0.250 0.057
Pu 0.254 0.750 0.557
Pu 0.746 0.250 0.443
Pu 0.754 0.750 0.943
Tl 0.213 0.750 0.300
Tl 0.287 0.250 0.800
Tl 0.713 0.750 0.200
Tl 0.787 0.250 0.700
F 0.002 0.750 0.445
F 0.093 0.750 0.682
F 0.109 0.750 0.126
F 0.133 0.750 0.966
F 0.367 0.250 0.466
F 0.391 0.250 0.626
F 0.407 0.250 0.182
F 0.498 0.250 0.945
F 0.502 0.750 0.055
F 0.593 0.750 0.818
F 0.609 0.750 0.374
F 0.633 0.750 0.534
F 0.867 0.250 0.034
F 0.891 0.250 0.874
F 0.907 0.250 0.318
F 0.998 0.250 0.555

Results
- space group = Pnma (62)
- formation energy from raw total energies (eV per atom) = -3.00
- total DFT energy (no corrections) (eV/atom) = -7.0297
- energy relative to the lowest polymorph listed for this composition (eV/atom) = 0.000

[6]
Entry from Alexandria: KPW2 after structural relaxation (GGA-PBE).

Cell lengths 6.271, 6.271, 2.593 Å; angles 100.51, 100.51, 125.71 degrees
Positions (direct):
K 0.000 0.000 0.000
P 0.500 0.500 0.000
W 0.000 0.500 0.000
W 0.500 0.000 0.000

Results
- E_form (meV/atom) = 1307
- space group = C2/m (12)
- total DFT energy (no corrections) (eV/atom) = -6.7964
- energy relative to the lowest polymorph listed for this composition (eV/atom) = 0.883

[7]
Entry from Alexandria: Fe2Os2Rh after structural relaxation (GGA-PBE).

Cell lengths 7.122, 7.122, 2.653 Å; angles 90.00, 90.00, 90.00 degrees
Positions (direct):
Fe 0.167 0.333 0.000
Fe 0.333 0.833 0.000
Fe 0.667 0.167 0.000
Fe 0.833 0.667 0.000
Os 0.128 0.628 0.500
Os 0.372 0.128 0.500
Os 0.628 0.872 0.500
Os 0.872 0.372 0.500
Rh 0.000 0.000 0.500
Rh 0.500 0.500 0.500

Results
- E_form (meV/atom) = 319
- space group = P4/mbm (127)
- total DFT energy (no corrections) (eV/atom) = -9.0278
- energy relative to the lowest polymorph listed for this composition (eV/atom) = 0.107

[8]
Entry from Alexandria: Sm8Ga2Ge after structural relaxation (GGA-PBE).

Cell lengths 9.837, 9.837, 6.784 Å; angles 101.76, 101.76, 29.72 degrees
Positions (direct):
Sm 0.025 0.025 0.272
Sm 0.209 0.209 0.819
Sm 0.342 0.342 0.520
Sm 0.409 0.409 0.044
Sm 0.591 0.591 0.956
Sm 0.658 0.658 0.480
Sm 0.791 0.791 0.181
Sm 0.975 0.975 0.728
Ga 0.187 0.187 0.256
Ga 0.813 0.813 0.744
Ge 0.500 0.500 0.500

Results
- E_form (meV/atom) = -335
- space group = C2/m (12)
- total DFT energy (no corrections) (eV/atom) = -4.7375

[9]
Entry from Alexandria: BeV2Ni6 after structural relaxation (GGA-PBE).

Cell lengths 6.958, 6.958, 2.474 Å; angles 90.00, 90.00, 122.45 degrees
Positions (direct):
Be 0.000 0.000 0.000
V 0.321 0.679 0.500
V 0.679 0.321 0.500
Ni 0.019 0.337 0.000
Ni 0.309 0.309 0.500
Ni 0.337 0.019 0.000
Ni 0.663 0.981 0.000
Ni 0.691 0.691 0.500
Ni 0.981 0.663 0.000

Results
- E_form (meV/atom) = -92
- space group = Cmmm (65)
- total DFT energy (no corrections) (eV/atom) = -6.3866

[10]
Entry from Alexandria: Cr2CuNi2 after structural relaxation (GGA-PBE).

Cell lengths 6.994, 6.994, 2.464 Å; angles 90.00, 90.00, 90.00 degrees
Positions (direct):
Cr 0.115 0.385 0.000
Cr 0.385 0.885 0.000
Cr 0.615 0.115 0.000
Cr 0.885 0.615 0.000
Cu 0.000 0.000 0.000
Cu 0.500 0.500 0.000
Ni 0.178 0.678 0.500
Ni 0.322 0.178 0.500
Ni 0.678 0.822 0.500
Ni 0.822 0.322 0.500

Results
- E_form (meV/atom) = 294
- space group = P4/mbm (127)
- total DFT energy (no corrections) (eV/atom) = -6.6873
- energy relative to the lowest polymorph listed for this composition (eV/atom) = 0.031

[11]
Entry from Alexandria: AsRu2OF after structural relaxation (GGA-PBE).

Cell lengths 4.098, 4.098, 4.627 Å; angles 90.00, 90.00, 90.00 degrees
Positions (direct):
As 0.000 0.000 0.000
Ru 0.000 0.500 0.500
Ru 0.500 0.000 0.500
O 0.500 0.500 0.000
F 0.000 0.000 0.500

Results
- space group = P4/mmm (123)
- formation energy from raw total energies (eV per atom) = 1.24
- total DFT energy (no corrections) (eV/atom) = -4.7615

[12]
Entry from Alexandria: CrHg3 after structural relaxation (GGA-PBE).

Cell lengths 6.867, 6.867, 6.867 Å; angles 153.47, 139.25, 49.29 degrees
Positions (direct):
Cr 0.000 0.000 0.000
Hg 0.194 0.694 0.500
Hg 0.500 0.500 0.000
Hg 0.806 0.306 0.500

Results
- E_form (meV/atom) = 299
- space group = Immm (71)
- total DFT energy (no corrections) (eV/atom) = -2.3334

Question: Which formula does entry 4 have?
Answer: InOs3C

Question: What is the formula in the fifth record?
Answer: PuTlF4

Question: Which value of total DFT energy (no corrections) does entry 5 give?
Answer: -7.0297 eV/atom

Please write out number 4 again, unchanged.
Entry from Alexandria: InOs3C after structural relaxation (GGA-PBE).

Cell lengths 4.132, 4.132, 4.132 Å; angles 90.00, 90.00, 90.00 degrees
Positions (direct):
In 0.000 0.000 0.000
Os 0.000 0.500 0.500
Os 0.500 0.000 0.500
Os 0.500 0.500 0.000
C 0.500 0.500 0.500

Results
- E_form (meV/atom) = 546
- space group = Pm-3m (221)
- total DFT energy (no corrections) (eV/atom) = -8.5843
- energy relative to the lowest polymorph listed for this composition (eV/atom) = 0.000